24
Lattice="3.7072 0.0000 0.0000 0.0000 14.1719 -6.0616 0.0000 -0.0046 15.4138" Properties=species:S:1:pos:R:3 comment="Pr11Sm4Tm9, optimized geometry, DFT GGA-PBE" total_energy_ev_per_atom=-4.591 sg=Cmmm m_tot_mub_per_cell=0.00 pbc="T T T"
Tm 1.8536 0.9278 2.8655
Tm 1.8536 5.2025 10.6428
Tm 1.8536 8.9647 -1.2906
Tm 1.8536 11.1676 9.6251
Tm 1.8536 2.9996 -0.2729
Tm 1.8536 13.2394 6.4866
Tm 1.8536 2.3362 8.7507
Tm 1.8536 11.8310 0.6015
Tm 1.8536 7.0836 4.6761
Pr 0.0000 8.4240 11.1465
Pr 0.0000 13.5602 3.3659
Pr 0.0000 0.0000 0.0000
Pr 0.0000 5.2009 7.5282
Pr 0.0000 5.7432 -1.7943
Pr 0.0000 2.2663 11.9736
Pr 0.0000 4.1028 2.7084
Pr 0.0000 11.9009 -2.6215
Pr 0.0000 8.9663 1.8240
Pr 0.0000 10.0644 6.6438
Pr 0.0000 0.6070 5.9863
Sm 1.8536 7.8691 8.3053
Sm 1.8536 3.4377 5.3800
Sm 1.8536 10.7295 3.9722
Sm 1.8536 6.2981 1.0469

---

14
Lattice="-2.9186 -2.9891 -0.5160 4.2745 -6.6679 -2.7205 1.1895 -5.2645 6.5985" Properties=species:S:1:pos:R:3 comment="Ac3As4Rh7, optimized geometry, DFT GGA-PBE" total_energy_ev_per_atom=-6.660 sg=C2/m m_tot_mub_per_cell=0.00 pbc="T T T"
Rh 2.0969 -4.8082 -1.1767
Rh 0.4485 -10.1133 4.5387
Rh 3.4472 -9.4746 1.0476
Rh 2.0476 -7.7874 -0.8094
Rh 0.0000 0.0000 0.0000
Rh -0.9018 -5.4469 2.3144
Rh 0.4978 -7.1341 4.1714
Ac -0.0328 -3.0077 0.4393
Ac 2.7320 -5.9662 1.9390
Ac 2.5782 -11.9138 2.9227
As 0.2585 -6.1565 -0.1381
As 0.9488 -4.5884 4.0432
As 1.5966 -10.3331 -0.6812
As 2.2869 -8.7650 3.5001

---

22
Lattice="7.3920 0.0000 -2.6135 -3.6960 6.4017 -2.6135 0.0000 0.0000 7.8404" Properties=species:S:1:pos:R:3 comment="U3Si2Rh6, optimized geometry, DFT GGA-PBE" total_energy_ev_per_atom=-8.650 sg=Im-3m m_tot_mub_per_cell=12.02 pbc="T T T"
Rh -0.1814 4.1630 2.6135
Rh 3.5146 2.2386 -2.6135
Rh 2.5849 0.0000 4.1848
Rh 2.4035 4.1630 -1.0422
Rh 0.0000 4.4772 0.0000
Rh -1.2925 2.2386 4.1848
Rh 3.8774 2.2386 0.0000
Rh 0.1814 4.1630 -2.6135
Rh -2.4035 4.1630 1.0422
Rh 1.2925 2.2386 3.6557
Rh 4.8071 0.0000 1.0422
Rh 3.6960 1.9244 2.6135
U 1.9294 0.0000 1.3643
U 5.4626 0.0000 3.8626
U 2.7313 4.7308 -3.8626
U -2.7313 4.7308 3.8626
U -0.9647 1.6709 1.3643
U 0.9647 1.6709 -1.3643
Si -1.8480 3.2008 -1.3067
Si 0.0000 0.0000 3.9202
Si 3.6960 0.0000 -1.3067
Si 1.8480 3.2008 1.3067

---

5
Lattice="4.1808 0.0000 0.0000 0.0000 4.1808 0.0000 0.0000 0.0000 4.1808" Properties=species:S:1:pos:R:3 comment="AgHS3, optimized geometry, DFT GGA-PBE" sg=Pm-3m m_tot_mub_per_cell=0.00 polymorph_energy_mev_per_atom=0 pbc="T T T"
S 0.0000 2.0904 0.0000
S 2.0904 0.0000 0.0000
S 0.0000 0.0000 2.0904
Ag 2.0904 2.0904 2.0904
H 0.0000 0.0000 0.0000

---

8
Lattice="3.5919 0.0000 0.0000 0.0000 4.1394 -1.4584 0.0000 -0.0334 6.0888" Properties=species:S:1:pos:R:3 comment="PaHO2, optimized geometry, DFT GGA-PBE" total_energy_ev_per_atom=-8.183 sg=P2_1/m m_tot_mub_per_cell=0.00 pbc="T T T"
O 2.6939 1.0556 5.1878
O 0.8980 3.0504 -0.5573
O 2.6939 0.8691 2.4393
O 0.8980 3.2369 2.1911
H 2.6939 2.7681 3.7308
H 0.8980 1.3379 0.8996
Pa 2.6939 2.5727 0.7646
Pa 0.8980 1.5333 3.8658

---

4
Lattice="-3.5284 0.9233 -1.0975 -1.7318 -2.0103 -2.7325 -5.7942 -6.9766 6.1503" Properties=species:S:1:pos:R:3 comment="TmBi2Sb, optimized geometry, DFT GGA-PBE" total_energy_ev_per_atom=-3.797 sg=R-3m m_tot_mub_per_cell=0.00 pbc="T T T"
Bi -4.6193 -5.0534 3.9908
Bi -6.4351 -3.0102 -1.6705
Sb -5.5272 -4.0318 1.1602
Tm 0.0000 0.0000 0.0000

---

12
Lattice="4.8931 0.0000 0.0000 2.4466 4.2376 0.0000 2.4466 1.4125 8.2034" Properties=species:S:1:pos:R:3 comment="SmPa2Co9, optimized geometry, DFT GGA-PBE" total_energy_ev_per_atom=-7.526 sg=R-3m m_tot_mub_per_cell=6.40 pbc="T T T"
Co 2.4466 1.4125 0.0105
Co 4.8932 4.2355 2.0252
Co 6.1146 3.5303 6.1782
Co 3.6717 3.5303 6.1782
Co 7.3397 4.2376 8.1930
Co 4.8931 1.4146 6.1782
Co 3.6717 2.1198 2.0252
Co 6.1146 2.1198 2.0252
Co 4.8931 2.8251 4.1017
Pa 7.3397 4.2376 3.3999
Pa 2.4466 1.4125 4.8036
Sm 0.0000 0.0000 0.0000

---

9
Lattice="4.7895 0.0000 1.2307 2.3497 5.2695 0.7908 -0.3469 -2.0800 11.2847" Properties=species:S:1:pos:R:3 comment="Na5Te4, optimized geometry, DFT GGA-PBE" total_energy_ev_per_atom=-2.862 sg=C2/m m_tot_mub_per_cell=0.00 pbc="T T T"
Na 3.7736 -0.7208 5.1840
Na 4.9163 1.2358 10.6719
Na 0.0000 0.0000 0.0000
Na 3.0187 3.9103 8.1221
Na 1.8760 1.9537 2.6342
Te 3.0614 0.7349 7.9558
Te 4.3962 4.1588 2.7611
Te 3.7309 2.4546 5.3503
Te 2.3960 -0.9692 10.5451

---

12
Lattice="6.2179 0.0023 0.0415 -3.1055 5.3869 0.0415 -0.9960 -1.7245 6.3376" Properties=species:S:1:pos:R:3 comment="Sr2TaTl3O6, optimized geometry, DFT GGA-PBE" total_energy_ev_per_atom=-6.364 sg=C2/m m_tot_mub_per_cell=0.00 pbc="T T T"
O 2.9405 2.1800 5.3253
O 0.4187 3.6365 5.3253
O -0.1505 -0.2606 5.1287
O 1.6978 0.0282 1.0953
O -0.8240 1.4847 1.0953
O 2.2670 3.9253 1.2919
Sr -0.0112 3.5999 0.0415
Sr 3.1237 1.7893 0.0415
Tl 1.0583 1.8324 3.2103
Tl -2.0936 3.6527 3.2103
Tl 4.2101 0.0121 3.2103
Ta 0.0000 0.0000 0.0000

---

6
Lattice="4.8676 0.0000 0.0000 2.4338 4.2155 0.0000 2.4338 1.4052 3.9744" Properties=species:S:1:pos:R:3 comment="TmCo4Ru, optimized geometry, DFT GGA-PBE" total_energy_ev_per_atom=-7.097 sg=F-43m m_tot_mub_per_cell=7.36 pbc="T T T"
Ru 2.4338 1.4052 0.9936
Co 4.8676 1.4036 2.4846
Co 6.0859 3.5137 2.4846
Co 4.8676 2.8103 0.4951
Co 3.6494 3.5137 2.4846
Tm 0.0000 0.0000 0.0000

---

20
Lattice="5.1187 0.0000 0.0000 0.0000 7.7589 -0.6629 0.0000 -2.0999 9.3450" Properties=species:S:1:pos:R:3 comment="Mg3GaH, optimized geometry, DFT GGA-PBE" sg=P2_1/c m_tot_mub_per_cell=0.00 polymorph_energy_mev_per_atom=0 pbc="T T T"
Mg 0.1171 1.4681 0.4168
Mg 2.5734 7.2896 0.8451
Mg 0.9976 2.8776 5.5527
Mg 1.5617 3.9275 0.8802
Mg 4.1210 2.7814 3.1293
Mg 2.6764 5.2408 3.5928
Mg 2.4423 0.4182 5.0893
Mg 2.5453 -1.6307 7.8370
Mg 0.0141 -0.5807 3.1645
Mg 5.0016 4.1908 8.2653
Mg 3.5569 1.7314 7.8018
Mg 5.1046 6.2396 5.5176
Ga 4.0833 4.9453 1.1565
Ga 3.5947 3.8953 5.8290
Ga 1.5239 1.7637 2.8531
Ga 1.0354 0.7137 7.5256
H 3.7929 0.2558 0.0539
H 3.8851 -0.7942 4.7264
H 1.3258 5.4032 8.6282
H 1.2336 6.4532 3.9557

---

4
Lattice="3.0875 0.0000 0.0000 0.0000 3.9480 0.0000 0.0000 0.0000 9.9766" Properties=species:S:1:pos:R:3 comment="K2FePt, optimized geometry, DFT GGA-PBE" sg=Pmm2 m_tot_mub_per_cell=3.27 polymorph_energy_mev_per_atom=49 pbc="T T T"
K 1.5438 1.9740 3.4057
K 0.0000 0.0000 9.1056
Pt 0.0000 0.0000 5.9436
Fe 1.5438 1.9740 6.4865